The following is a SCAN calculation of a PBEsol-optimized structure of YCr2Rh, from Alexandria via LeMat-Bulk.

Results
E above lowest polymorph: 0.347 eV per atom
V: 16.37 Å³ per atom
ΔE_f: 162 meV/atom

Cell lengths 3.0065, 3.0065, 7.2454 Å; angles 90.00, 90.00, 90.00 degrees
Closest atoms and distances in Å follow each position.
Fractional positions:
Y 0.0000 0.0000 0.0000  4 Y 3.01, 8 Cr 3.03
Cr 0.5000 0.5000 0.2988  4 Rh 2.58
Cr 0.5000 0.5000 0.7012  4 Rh 2.58
Rh 0.0000 0.0000 0.5000  8 Cr 2.58


The following is a SCAN calculation of a PBEsol-optimized structure of Ta2CrMo, from Alexandria via LeMat-Bulk.

Results
V: 15.34 Å³ per atom
ΔE_f: -102 meV/atom

Cell lengths 3.1309, 3.1309, 6.2614 Å; angles 90.00, 90.00, 90.00 degrees
Closest atoms and distances in Å follow each position.
Fractional positions:
Ta 0.0000 0.0000 0.2418  4 Cr 2.68, 4 Mo 2.74
Ta 0.0000 0.0000 0.7582  4 Cr 2.68, 4 Mo 2.74
Cr 0.5000 0.5000 0.0000  8 Ta 2.68
Mo 0.5000 0.5000 0.5000  8 Ta 2.74


The following is a SCAN calculation of a PBEsol-optimized structure of Rb3CdAs, from Alexandria via LeMat-Bulk.

Results
V: 52.51 Å³ per atom
ΔE_f: 320 meV/atom

Cell lengths 6.4034, 6.4034, 6.4034 Å; angles 90.00, 90.00, 90.00 degrees
Closest atoms and distances in Å follow each position.
Fractional positions:
Rb 0.0000 0.0000 0.5000  2 Cd 3.20
Rb 0.0000 0.5000 0.0000  2 Cd 3.20
Rb 0.5000 0.0000 0.0000  2 Cd 3.20
Cd 0.0000 0.0000 0.0000  6 Rb 3.20
As 0.5000 0.5000 0.5000  12 Rb 4.53


The following is a SCAN calculation of a PBEsol-optimized structure of La2IrRuI, from Alexandria via LeMat-Bulk.

Results
Energy relative to the elements, uncorrected: -0.379 eV per atom
V: 28.25 Å³ per atom

Cell lengths 5.5255, 5.5255, 4.6259 Å; angles 90.00, 90.00, 90.00 degrees
Closest atoms and distances in Å follow each position.
Fractional positions:
La 0.0000 0.5000 0.0000  2 Ru 2.76
La 0.5000 0.0000 0.0000  2 Ru 2.76
Ir 0.0000 0.0000 0.5000  2 Ru 2.31
Ru 0.0000 0.0000 0.0000  2 Ir 2.31
I 0.5000 0.5000 0.5000  8 La 3.60, 4 Ir 3.91


The following is a SCAN calculation of a PBEsol-optimized structure of BeRe2Mo, from Alexandria via LeMat-Bulk.

Results
V: 13.59 Å³ per atom
ΔE_f: 11 meV/atom

Cell lengths 3.0552, 4.2641, 8.3451 Å; angles 90.00, 90.00, 90.00 degrees
Closest atoms and distances in Å follow each position.
Fractional positions:
Be 0.0000 0.0000 0.0000  4 Re 2.58, 4 Mo 2.62
Be 0.5000 0.5000 0.5000  4 Re 2.58, 4 Mo 2.62
Re 0.0000 0.5000 0.2502  2 Be 2.58, 2 Mo 2.59, 4 Re 2.62
Re 0.0000 0.5000 0.7498  2 Be 2.58, 2 Mo 2.59, 4 Re 2.62
Re 0.5000 0.0000 0.2498  2 Be 2.58, 2 Mo 2.59, 4 Re 2.62
Re 0.5000 0.0000 0.7502  2 Be 2.58, 2 Mo 2.59, 4 Re 2.62
Mo 0.0000 0.0000 0.5000  4 Re 2.59, 4 Be 2.62
Mo 0.5000 0.5000 0.0000  4 Re 2.59, 4 Be 2.62


The following is a SCAN calculation of a PBEsol-optimized structure of HfI3O, from Alexandria via LeMat-Bulk.

Results
Energy relative to the elements, uncorrected: 0.740 eV per atom
V: 24.07 Å³ per atom

Cell lengths 4.9374, 4.9374, 4.9374 Å; angles 90.00, 90.00, 90.00 degrees
Closest atoms and distances in Å follow each position.
Fractional positions:
Hf 0.0000 0.0000 0.0000  12 I 3.49
I 0.0000 0.5000 0.5000  2 O 2.47
I 0.5000 0.0000 0.5000  2 O 2.47
I 0.5000 0.5000 0.0000  2 O 2.47
O 0.5000 0.5000 0.5000  6 I 2.47